Entry from Alexandria: an optimized crystal structure of LaNd2Te4 (PBE-GGA).

Properties
**Magnetization**: 0.000 μB/f.u.
**Formation energy from raw total energies**: -1.480 eV/atom

abc: 4.4296 14.7676 15.3229
angles: 90.00 90.00 90.00
Space group Cmcm (No. 63)
Unique sites:
La (0.0000, 0.1225, 0.2500) (multiplicity 4)
Nd (0.0000, 0.3682, 0.0665) (multiplicity 8)
Te (0.0000, 0.0000, 0.0000) (multiplicity 4)
Te (0.0000, 0.2765, 0.6242) (multiplicity 8)
Te (0.0000, 0.4632, 0.2500) (multiplicity 4)